# Mg2FeAs

Crystalline Mg2FeAs at its relaxed geometry (PBE-GGA, Alexandria).

```
data_Mg2FeAs
_symmetry_space_group_name_H-M 'P 1'
_symmetry_Int_Tables_number 1
_cell_length_a 5.152
_cell_length_b 5.152
_cell_length_c 5.152
_cell_angle_alpha 135.12
_cell_angle_beta 135.12
_cell_angle_gamma 65.34
loop_
_symmetry_equiv_pos_as_xyz
'x,y,z'
loop_
_atom_site_label
_atom_site_fract_x
_atom_site_fract_y
_atom_site_fract_z
Mg1 0.000 0.000 0.000
As1 0.500 0.500 0.000
Fe1 0.750 0.250 0.500
Mg2 0.250 0.750 0.500
```

Computed properties:
Space-group type: I-4m2 (119)
Density (g/cm3): 4.44
Formation energy (meV/atom): 2
Total DFT energy (no corrections) (eV for the cell shown): -16.29